(1)
Entry from Alexandria: a geometry-optimized Nd3AgS5 structure (PBE).

Calculated values
Its total energy is -5.74 eV/atom. Its raw formation energy is -1542 meV per atom.

abc: 8.7739 8.7739 8.7739
angles: 128.02 128.02 76.60
Last column: nearest neighbours and their distance in Å.
Fractional positions:
Nd1 0.1554 0.6554 0.8109  4 S 2.67-2.91
Nd2 0.2500 0.2500 0.0000  10 S 3.22-3.44
Nd3 0.3446 0.1554 0.5000  4 S 2.67-2.91
Nd4 0.6554 0.8446 0.5000  4 S 2.67-2.91
Nd5 0.7500 0.7500 0.0000  10 S 3.22-3.44
Nd6 0.8446 0.3446 0.1891  4 S 2.67-2.91
Ag1 0.2500 0.7500 0.5000  4 S 2.43
Ag2 0.7500 0.2500 0.5000  4 S 2.43
S1 0.0000 0.0000 0.0000  4 Nd 2.91
S2 0.0344 0.1855 0.5000  1 Ag 2.43, 1 Nd 2.67
S3 0.1855 0.6855 0.1512  1 Ag 2.43, 1 Nd 2.67
S4 0.3145 0.4656 0.5000  1 Ag 2.43, 1 Nd 2.67
S5 0.4656 0.9656 0.1512  1 Ag 2.43, 1 Nd 2.67
S6 0.5000 0.5000 0.0000  4 Nd 2.91
S7 0.5344 0.0344 0.8488  1 Ag 2.43, 1 Nd 2.67
S8 0.6855 0.5344 0.5000  1 Ag 2.43, 1 Nd 2.67
S9 0.8145 0.3145 0.8488  1 Ag 2.43, 1 Nd 2.67
S10 0.9656 0.8145 0.5000  1 Ag 2.43, 1 Nd 2.67


(2)
Entry from Alexandria: a geometry-optimized NdAg2S3 structure (PBE).

Calculated values
Its total energy is -4.41 eV/atom. The calculation puts the density of states at the Fermi level at 6.9 states/eV per cell. Its raw formation energy is -602 meV per atom.

abc: 7.4236 7.4236 5.2730
angles: 90.00 90.00 112.94
Last column: nearest neighbours and their distance in Å.
Fractional positions:
Nd1 0.2348 0.7652 0.7500  4 S 2.82-3.12
Nd2 0.7652 0.2348 0.2500  4 S 2.82-3.12
Ag1 0.2891 0.2891 0.0000  4 S 2.52-2.71, 2 Ag 2.64
Ag2 0.2891 0.2891 0.5000  4 S 2.52-2.71, 2 Ag 2.64
Ag3 0.7109 0.7109 0.0000  4 S 2.52-2.71, 2 Ag 2.64
Ag4 0.7109 0.7109 0.5000  4 S 2.52-2.71, 2 Ag 2.64
S1 0.0328 0.3554 0.7500  2 Ag 2.52
S2 0.3554 0.0328 0.2500  2 Ag 2.52
S3 0.3689 0.6311 0.2500  4 Ag 2.71, 2 S 3.02
S4 0.6311 0.3689 0.7500  4 Ag 2.71, 2 S 3.02
S5 0.6446 0.9672 0.7500  2 Ag 2.52
S6 0.9672 0.6446 0.2500  2 Ag 2.52


(3)
Entry from Alexandria: a geometry-optimized Nd3SiAgS7 structure (PBE).

Calculated values
Its total energy is -5.79 eV/atom. The calculation puts the density of states at the Fermi level at 0.0 states/eV per cell. Its raw formation energy is -1505 meV per atom.

abc: 10.3347 10.3347 5.7790
angles: 90.00 90.00 120.00
Last column: nearest neighbours and their distance in Å.
Fractional positions:
Nd1 0.1230 0.7635 0.0000  8 S 2.88-3.09
Nd2 0.2365 0.3595 0.0000  8 S 2.88-3.09
Nd3 0.3595 0.1230 0.5000  8 S 2.88-3.09
Nd4 0.6405 0.8770 0.0000  8 S 2.88-3.09
Nd5 0.7635 0.6405 0.5000  8 S 2.88-3.09
Nd6 0.8770 0.2365 0.5000  8 S 2.88-3.09
Si1 0.3333 0.6667 0.5885  4 S 2.12-2.15
Si2 0.6667 0.3333 0.0885  4 S 2.12-2.15
Ag1 0.0000 0.0000 0.4546  3 S 2.45
Ag2 0.0000 0.0000 0.9546  3 S 2.45
S1 0.0908 0.8221 0.4853  1 Ag 2.45
S2 0.1156 0.5242 0.7348  1 Si 2.15
S3 0.1779 0.2688 0.4853  1 Ag 2.45
S4 0.2688 0.0908 0.9853  1 Ag 2.45
S5 0.3333 0.6667 0.2225  1 Si 2.12
S6 0.4086 0.8844 0.7348  1 Si 2.15
S7 0.4758 0.5914 0.7348  1 Si 2.15
S8 0.5242 0.4086 0.2348  1 Si 2.15
S9 0.5914 0.1156 0.2348  1 Si 2.15
S10 0.6667 0.3333 0.7225  1 Si 2.12
S11 0.7312 0.9092 0.4853  1 Ag 2.45
S12 0.8221 0.7312 0.9853  1 Ag 2.45
S13 0.8844 0.4758 0.2348  1 Si 2.15
S14 0.9092 0.1779 0.9853  1 Ag 2.45


(4)
Entry from Alexandria: a geometry-optimized TbNd2AgS5 structure (PBE).

Calculated values
Its total energy is -5.87 eV/atom. The calculation puts the density of states at the Fermi level at 0.2 states/eV per cell. Its raw formation energy is -1683 meV per atom.

abc: 8.5670 8.5670 12.1441
angles: 90.00 90.00 153.00
Last column: nearest neighbours and their distance in Å.
Fractional positions:
Tb1 0.1941 0.8059 0.5000  6 S 2.65-2.79
Tb2 0.8059 0.1941 0.0000  6 S 2.65-2.79
Nd1 0.1116 0.8884 0.1805  8 S 2.90-3.11
Nd2 0.1253 0.8747 0.7987  8 S 2.91-3.13
Nd3 0.8747 0.1253 0.2987  8 S 2.91-3.13
Nd4 0.8884 0.1116 0.6805  8 S 2.90-3.11
Ag1 0.4664 0.5336 0.9641  3 S 2.43-2.45
Ag2 0.5336 0.4664 0.4641  3 S 2.43-2.45
S1 0.0462 0.9538 0.5793  2 Ag 2.45, 1 Tb 2.65
S2 0.2884 0.7116 0.1582  2 Tb 2.79, 3 Nd 2.96-3.00
S3 0.3057 0.6943 0.8397  2 Tb 2.79, 3 Nd 3.05-3.11, 1 Ag 3.07
S4 0.3583 0.6417 0.4953  1 Tb 2.74, 1 Ag 2.95, 2 Nd 3.05
S5 0.4994 0.5006 0.2695  1 Ag 2.43
S6 0.5006 0.4994 0.7695  1 Ag 2.43
S7 0.6417 0.3583 0.9953  1 Tb 2.74, 1 Ag 2.95, 2 Nd 3.05
S8 0.6943 0.3057 0.3397  2 Tb 2.79, 3 Nd 3.05-3.11, 1 Ag 3.07
S9 0.7116 0.2884 0.6582  2 Tb 2.79, 3 Nd 2.96-3.00
S10 0.9538 0.0462 0.0793  2 Ag 2.45, 1 Tb 2.65


(5)
Entry from Alexandria: a geometry-optimized Nd3TiAg3S8 structure (PBE).

Calculated values
Its total energy is -5.46 eV/atom. Its raw formation energy is -1206 meV per atom.

abc: 7.7780 7.7780 7.8100
angles: 117.52 117.52 62.64
Last column: nearest neighbours and their distance in Å.
Fractional positions:
Nd1 0.0000 0.0000 0.0000  6 S 2.81-2.85
Nd2 0.0000 0.5000 0.5000  6 S 2.82-2.85
Nd3 0.5000 0.0000 0.5000  6 S 2.82-2.85
Ti1 0.5000 0.5000 0.0000  6 S 2.50
Ag1 0.0000 0.5000 0.0000  6 S 2.78-2.81
Ag2 0.5000 0.0000 0.0000  6 S 2.78-2.81
Ag3 0.5000 0.5000 0.5000  6 S 2.78-2.81
S1 0.2515 0.2515 0.2505  3 Ag 2.78-2.81, 3 Nd 2.81-2.82
S2 0.2764 0.2764 0.7785  1 Ti 2.50
S3 0.2764 0.7198 0.2219  1 Ti 2.50, 1 Ag 2.78
S4 0.2802 0.7236 0.7781  1 Ti 2.50, 1 Ag 2.78
S5 0.7198 0.2764 0.2219  1 Ti 2.50, 1 Ag 2.78
S6 0.7236 0.2802 0.7781  1 Ti 2.50, 1 Ag 2.78
S7 0.7236 0.7236 0.2215  1 Ti 2.50
S8 0.7485 0.7485 0.7495  3 Ag 2.78-2.81, 3 Nd 2.81-2.82


(6)
Entry from Alexandria: a geometry-optimized NdTlAgS2 structure (PBE).

Calculated values
Its total energy is -4.44 eV/atom. The calculation puts the density of states at the Fermi level at 3.3 states/eV per cell. Its raw formation energy is -794 meV per atom.

abc: 6.0980 6.0143 7.9511
angles: 90.00 104.48 90.00
Last column: nearest neighbours and their distance in Å.
Fractional positions:
Nd1 0.0000 0.0082 0.2500  4 S 2.76-2.78
Nd2 0.0000 0.9918 0.7500  4 S 2.76-2.78
Tl1 0.5000 0.3319 0.2500  4 S 3.24-3.41, 2 Ag 3.35, 2 Nd 3.62
Tl2 0.5000 0.6681 0.7500  4 S 3.24-3.41, 2 Ag 3.35, 2 Nd 3.62
Ag1 0.0000 0.5000 0.0000  2 S 2.42
Ag2 0.0000 0.5000 0.5000  2 S 2.42
S1 0.2620 0.1911 0.5550  1 Ag 2.42
S2 0.2620 0.8089 0.0550  1 Ag 2.42
S3 0.7380 0.1911 0.9450  1 Ag 2.42
S4 0.7380 0.8089 0.4450  1 Ag 2.42


(7)
Entry from Alexandria: a geometry-optimized Nd2YAgS5 structure (PBE).

Calculated values
Its total energy is -6.07 eV/atom. The calculation puts the density of states at the Fermi level at 0.2 states/eV per cell. Its raw formation energy is -1684 meV per atom.

abc: 8.5653 8.5653 12.1298
angles: 90.00 90.00 153.01
Last column: nearest neighbours and their distance in Å.
Fractional positions:
Nd1 0.1111 0.8889 0.5000  8 S 2.91-3.11
Nd2 0.1257 0.8743 0.1181  8 S 2.91-3.12
Nd3 0.8743 0.1257 0.6181  8 S 2.91-3.12
Nd4 0.8889 0.1111 0.0000  8 S 2.91-3.11
Y1 0.1945 0.8055 0.8199  6 S 2.64-2.79
Y2 0.8055 0.1945 0.3199  6 S 2.64-2.79
Ag1 0.4662 0.5338 0.2831  3 S 2.43-2.45
Ag2 0.5338 0.4662 0.7831  3 S 2.43-2.45
S1 0.0469 0.9531 0.8984  2 Ag 2.45, 1 Y 2.64
S2 0.2877 0.7123 0.4777  2 Y 2.78, 3 Nd 2.95-3.00
S3 0.3057 0.6943 0.1599  2 Y 2.79, 3 Nd 3.04-3.11, 1 Ag 3.06
S4 0.3582 0.6418 0.8145  1 Y 2.73, 1 Ag 2.95, 2 Nd 3.05
S5 0.4991 0.5009 0.5886  1 Ag 2.43
S6 0.5009 0.4991 0.0886  1 Ag 2.43
S7 0.6418 0.3582 0.3145  1 Y 2.73, 1 Ag 2.95, 2 Nd 3.05
S8 0.6943 0.3057 0.6599  2 Y 2.79, 3 Nd 3.04-3.11, 1 Ag 3.06
S9 0.7123 0.2877 0.9777  2 Y 2.78, 3 Nd 2.95-3.00
S10 0.9531 0.0469 0.3984  2 Ag 2.45, 1 Y 2.64


(8)
Entry from Alexandria: a geometry-optimized NdY2Ag3S6 structure (PBE).

Calculated values
Its total energy is -5.54 eV/atom. The calculation puts the density of states at the Fermi level at 0.0 states/eV per cell. Its raw formation energy is -1291 meV per atom.

abc: 8.0447 8.0447 9.5699
angles: 104.91 104.91 29.57
Last column: nearest neighbours and their distance in Å.
Fractional positions:
Nd1 0.0000 0.0000 0.0000  6 S 2.84-2.87
Y1 0.3337 0.3337 0.6635  6 S 2.72-2.82
Y2 0.6663 0.6663 0.3365  6 S 2.72-2.82
Ag1 0.0000 0.0000 0.5000  2 S 2.40
Ag2 0.3277 0.3277 0.0585  4 S 2.52-2.80
Ag3 0.6723 0.6723 0.9415  4 S 2.52-2.80
S1 0.1571 0.1571 0.5198  1 Ag 2.40
S2 0.1868 0.1868 0.1452  3 Ag 2.54-2.80, 2 Y 2.82
S3 0.4891 0.4891 0.2001  1 Ag 2.52, 1 Y 2.72
S4 0.5109 0.5109 0.7999  1 Ag 2.52, 1 Y 2.72
S5 0.8132 0.8132 0.8548  3 Ag 2.54-2.80, 2 Y 2.82
S6 0.8429 0.8429 0.4802  1 Ag 2.40